# Pa2ZnCuN5, relaxed, DFT PBE-GGA
# Formation energy without anion corrections   -0.62 eV/atom
data_Pa2ZnCuN5
_cell_length_a 3.4750
_cell_length_b 12.6899
_cell_length_c 9.9260
_cell_angle_alpha 90.00
_cell_angle_beta 90.00
_cell_angle_gamma 90.00
_symmetry_space_group_name_H-M 'C m c 21'
_symmetry_Int_Tables_number 36
loop_
_symmetry_equiv_pos_as_xyz
'x,y,z'
'-x,-y,z+1/2'
'-x,y,z'
'x,-y,z+1/2'
'x+1/2,y+1/2,z'
'-x+1/2,-y+1/2,z+1/2'
'-x+1/2,y+1/2,z'
'x+1/2,-y+1/2,z+1/2'
loop_
_atom_site_label
_atom_site_type_symbol
_atom_site_fract_x
_atom_site_fract_y
_atom_site_fract_z
Pa1 Pa 0.0000 0.0985 0.0000
Pa2 Pa 0.0000 0.1529 0.6148
Zn1 Zn 0.0000 0.2037 0.3116
Cu1 Cu 0.0000 0.4725 0.7810
N1 N 0.0000 0.0598 0.4042
N2 N 0.0000 0.2729 0.0114
N3 N 0.0000 0.3289 0.6900
N4 N 0.0000 0.3719 0.3352
N5 N 0.0000 0.4804 0.0976